No. 1
TbDyScPd: relaxed, PBE.

The space group is F-43m (No. 216) and the conventional cell measures 7.301, 7.301 and 7.301 Å, with angles of 90.00, 90.00 and 90.00 degrees. The asymmetric unit holds Tb at (0.000, 0.000, 0.000), Dy at (0.000, 0.000, 0.500), Sc at (0.250, 0.250, 0.250) and Pd at (0.250, 0.250, 0.750).

As for the total magnetization: 0.0 μB per formula unit. The formation energy comes out at -0.73 eV/f.u.

***

No. 2
DyTmScPd: relaxed, PBE.

The space group is F-43m (No. 216) and the conventional cell measures 7.247, 7.247 and 7.247 Å, with angles of 90.00, 90.00 and 90.00 degrees. The asymmetric unit holds Dy at (0.000, 0.000, 0.000), Tm at (0.000, 0.000, 0.500), Sc at (0.250, 0.250, 0.250) and Pd at (0.250, 0.250, 0.750).

As for the total magnetization: 0.0 μB per formula unit. The formation energy comes out at -0.81 eV/f.u.

***

No. 3
DyYScPd: relaxed, PBE.

The space group is F-43m (No. 216) and the conventional cell measures 7.301, 7.301 and 7.301 Å, with angles of 90.00, 90.00 and 90.00 degrees. The asymmetric unit holds Dy at (0.000, 0.000, 0.000), Y at (0.000, 0.000, 0.500), Sc at (0.250, 0.250, 0.750) and Pd at (0.250, 0.250, 0.250).

As for the total magnetization: 0.0 μB per formula unit. The formation energy comes out at -0.73 eV/f.u.